# 1
PaZnCoNi: relaxed, PBE-GGA.

## Properties
- E_form: -0.21 eV per atom
- Total moment: 0.0 μB/f.u.
- Space group: No. 216

Cell and atoms, written as POSCAR:
```
PaZnCoNi
1.0
-0.318 0.046 -4.459
0.805 -3.725 -2.337
-3.364 -2.140 -2.023
Zn Ni Pa Co
1 1 1 1
Direct
0.500 0.500 0.500
0.250 0.250 0.250
0.000 0.000 0.000
0.750 0.750 0.750
```


# 2
VPd5Pt4: relaxed, PBE-GGA.

## Properties
- E_form: -0.20 eV per atom
- Total moment: 0.0 μB/f.u.
- Space group: No. 12

Cell and atoms, written as POSCAR:
```
VPd5Pt4
1.0
2.780 0.000 0.000
0.000 7.859 0.084
-1.390 -2.002 6.943
Pd Pt V
5 4 1
Direct
0.904 0.192 0.809
0.500 0.500 0.000
0.302 0.400 0.603
0.096 0.808 0.191
0.698 0.600 0.397
0.699 0.098 0.398
0.301 0.902 0.602
0.098 0.287 0.196
0.902 0.713 0.804
0.500 0.000 0.000
```